Density functional theory data (PBE+U) for a relaxed CrPPbO5 crystal.

a b c (Å): 5.7054 5.7054 7.2189
angles (deg): 104.74 104.74 105.98
With the nearest neighbours (Å) after each atom.
Positions (direct):
Cr: 0.0000 0.0000 0.0000  6 O 1.92-2.15
Cr: 0.0000 0.0000 0.5000  6 O 1.92-2.15
P: 0.3126 0.6874 0.7500  4 O 1.55-1.58
P: 0.6874 0.3126 0.2500  4 O 1.55-1.58
Pb: 0.3194 0.6806 0.2500  1 O 2.24
Pb: 0.6806 0.3194 0.7500  1 O 2.24
O: 0.0733 0.9267 0.2500  2 Cr 1.92
O: 0.1224 0.7000 0.8748  1 P 1.58
O: 0.2275 0.4074 0.5986  1 P 1.55
O: 0.3000 0.8776 0.6252  1 P 1.58
O: 0.4074 0.2275 0.0986  1 P 1.55
O: 0.5926 0.7725 0.9014  1 P 1.55
O: 0.7000 0.1224 0.3748  1 P 1.58
O: 0.7725 0.5926 0.4014  1 P 1.55
O: 0.8776 0.3000 0.1252  1 P 1.58
O: 0.9267 0.0733 0.7500  2 Cr 1.92

Computed properties:
symmetry: C2/c, No. 15
calculated volume: 12.80 Å³/atom
E_tot: -7.08 eV per atom
total moment: 3.000 μB/f.u.